Record 1
This record from the Alexandria database describes crystalline Pa2Al5Cu4 at its relaxed geometry. The functional is PBE.

Space-group type   Fmmm
Formation energy   -165.3 meV/atom
DOS at the Fermi energy   9.966 states/eV/f.u.

Cell lengths 5.6535, 5.4893, 7.6875 Å; angles 79.08, 68.43, 59.01 degrees
Element x y z (fractional)
1 Pa 0.8639 0.0000 0.2721
2 Pa 0.1361 0.0000 0.7279
3 Al 0.5000 0.0000 0.0000
4 Al 0.0000 0.5000 0.0000
5 Al 0.5000 0.5000 0.0000
6 Al 0.2500 0.5000 0.5000
7 Al 0.7500 0.5000 0.5000
8 Cu 0.5078 0.2653 0.7191
9 Cu 0.4922 0.7347 0.2809
10 Cu 0.2269 0.2653 0.2809
11 Cu 0.7731 0.7347 0.7191

---

Record 2
This record from the Alexandria database describes crystalline SrPmTlAg at its relaxed geometry. The functional is PBE.

Space-group type   F-43m
Formation energy   -297.8 meV/atom
Offset from the most stable computed form   32 meV per atom
DOS at the Fermi energy   4.126 states/eV/f.u.

Cell lengths 5.5106, 5.5106, 5.5106 Å; angles 60.00, 60.00, 60.00 degrees
Element x y z (fractional)
1 Sr 0.5000 0.5000 0.5000
2 Tl 0.7500 0.7500 0.7500
3 Ag 0.2500 0.2500 0.2500
4 Pm 0.0000 0.0000 0.0000